No. 1
# PBE CaZrBr2, relaxed
data_CaZrBr2
_symmetry_space_group_name_H-M 'C 1 2/m 1'
_symmetry_Int_Tables_number 12
_cell_length_a 9.1071
_cell_length_b 3.5280
_cell_length_c 6.2529
_cell_angle_alpha 90.00
_cell_angle_beta 101.80
_cell_angle_gamma 90.00
loop_
_symmetry_equiv_pos_as_xyz
'x,y,z'
'-x,-y,-z'
'-x,y,-z'
'x,-y,z'
'x+1/2,y+1/2,z'
'-x+1/2,-y+1/2,-z'
'-x+1/2,y+1/2,-z'
'x+1/2,-y+1/2,z'
loop_
_atom_site_label
_atom_site_type_symbol
_atom_site_fract_x
_atom_site_fract_y
_atom_site_fract_z
Ca1 Ca 0.0000 0.0000 0.0000
Zr1 Zr 0.0000 0.5000 0.5000
Br1 Br 0.2367 0.0000 0.7204
# - N(E_F): 3.89 states/eV/cell
# - Density: 4.9 Mg/m³
# - Energy: -33.7 eV per cell
# - Energy above the most stable polymorph in this dataset: 64.5 kJ/mol of formula units


No. 2
# PBE CaZrBr2, relaxed
data_CaZrBr2
_symmetry_space_group_name_H-M 'P m m m'
_symmetry_Int_Tables_number 47
_cell_length_a 3.4525
_cell_length_b 4.6857
_cell_length_c 6.6931
_cell_angle_alpha 90.00
_cell_angle_beta 90.00
_cell_angle_gamma 90.00
loop_
_symmetry_equiv_pos_as_xyz
'x,y,z'
'-x,-y,-z'
'-x,-y,z'
'x,y,-z'
'x,-y,-z'
'-x,y,z'
'-x,y,-z'
'x,-y,z'
loop_
_atom_site_label
_atom_site_type_symbol
_atom_site_fract_x
_atom_site_fract_y
_atom_site_fract_z
Ca1 Ca 0.0000 0.0000 0.0000
Zr1 Zr 0.5000 0.0000 0.5000
Br1 Br 0.0000 0.5000 0.5000
Br2 Br 0.5000 0.5000 0.0000
# - N(E_F): 3.23 states/eV/cell
# - Density: 4.5 Mg/m³
# - Energy: -16.3 eV per cell
# - Energy above the most stable polymorph in this dataset: 113.9 kJ/mol of formula units


No. 3
# PBE CaZr4Br, relaxed
data_CaZr4Br
_symmetry_space_group_name_H-M 'F -4 3 m'
_symmetry_Int_Tables_number 216
_symmetry_space_group_name_Hall 'F -4 2 3'
_cell_length_a 8.6397
_cell_length_b 8.6397
_cell_length_c 8.6397
_cell_angle_alpha 90.00
_cell_angle_beta 90.00
_cell_angle_gamma 90.00
loop_
_atom_site_label
_atom_site_type_symbol
_atom_site_fract_x
_atom_site_fract_y
_atom_site_fract_z
Ca1 Ca 0.0000 0.0000 0.0000
Zr1 Zr 0.1304 0.1304 0.6304
Br1 Br 0.2500 0.2500 0.2500
# - N(E_F): 42.10 states/eV/cell
# - Density: 5.0 Mg/m³
# - Energy: -140.3 eV per cell


No. 4
# PBE CaZrBr4, relaxed
data_CaZrBr4
_symmetry_space_group_name_H-M 'F -4 3 m'
_symmetry_Int_Tables_number 216
_symmetry_space_group_name_Hall 'F -4 2 3'
_cell_length_a 8.9600
_cell_length_b 8.9600
_cell_length_c 8.9600
_cell_angle_alpha 90.00
_cell_angle_beta 90.00
_cell_angle_gamma 90.00
loop_
_atom_site_label
_atom_site_type_symbol
_atom_site_fract_x
_atom_site_fract_y
_atom_site_fract_z
Ca1 Ca 0.0000 0.0000 0.0000
Zr1 Zr 0.2500 0.2500 0.7500
Br1 Br 0.1244 0.1244 0.3756
# - N(E_F): 40.54 states/eV/cell
# - Density: 4.2 Mg/m³
# - Energy: -65.1 eV per cell


density of number 1 (CaZrBr2)? 4.9 Mg/m³